# ReTe3Br meta-GGA SCAN PBEsol geometry
# Formation energy from raw total energies ... 1940 meV/atom
# Uncorrected energy ... -38.5219 eV per atom
data_ReTe3Br
_cell_length_a 5.4088
_cell_length_b 5.4088
_cell_length_c 5.4088
_cell_angle_alpha 90.00
_cell_angle_beta 90.00
_cell_angle_gamma 90.00
_space_group_name_H-M_alt 'P m -3 m'
_space_group_IT_number 221
_space_group_name_Hall '-P 4 2 3'
loop_
_atom_site_label
_atom_site_type_symbol
_atom_site_fract_x
_atom_site_fract_y
_atom_site_fract_z
Re1 Re 0.0000 0.0000 0.0000
Te1 Te 0.0000 0.5000 0.5000
Br1 Br 0.5000 0.5000 0.5000